Record 1
Entry from Alexandria: crystalline ZrOsO3 at its relaxed geometry (PBE).

Summary:
Crystal system: cubic
Energy (eV per atom): -7.74

Cell: 3.896 3.896 3.896 Å, 90.00 90.00 90.00°
Element x y z (fractional)
Os: 0.000 0.000 0.000
O: 0.500 0.000 0.000
O: 0.000 0.500 0.000
Zr: 0.500 0.500 0.500
O: 0.000 0.000 0.500

---

Record 2
Entry from Alexandria: crystalline Zr2OsO at its relaxed geometry (PBE).

Summary:
Crystal system: tetragonal
Energy (eV per atom): -9.35

Cell: 6.232 6.232 5.735 Å, 57.09 57.09 90.00°
Element x y z (fractional)
Zr: 0.875 0.807 0.750
Zr: 0.375 0.443 0.750
Os: 0.000 0.000 0.000
O: 0.250 0.750 0.500
Zr: 0.557 0.125 0.250
O: 0.500 0.500 0.000
Os: 0.750 0.250 0.500
Zr: 0.193 0.625 0.250

---

Record 3
Entry from Alexandria: crystalline Zr2OsO at its relaxed geometry (PBE).

Summary:
Crystal system: tetragonal
Energy (eV per atom): -9.27

Cell: 3.024 3.024 6.777 Å, 90.00 90.00 90.00°
Element x y z (fractional)
O: 0.500 0.500 0.000
Zr: 0.000 0.000 0.236
Zr: 0.000 0.000 0.764
Os: 0.500 0.500 0.500

---

Record 4
Entry from Alexandria: crystalline ZrOsO3 at its relaxed geometry (PBE).

Summary:
Crystal system: cubic
Energy (eV per atom): -7.74

Cell: 4.111 4.111 4.111 Å, 90.00 90.00 90.00°
Each line ends with the local moment (μB).
Element x y z (fractional)
O: 0.000 0.000 0.500  0.14
Os: 0.500 0.500 0.500  3.33
O: 0.000 0.500 0.000  0.19
Zr: 0.000 0.000 0.000  -0.03
O: 0.500 0.000 0.000  0.13

---

Record 5
Entry from Alexandria: crystalline P2O5 at its relaxed geometry (PBE).

Summary:
Crystal system: orthorhombic
Energy (eV per atom): -7.02

Cell: 9.241 8.742 4.936 Å, 79.72 68.58 31.71°
Element x y z (fractional)
O: 0.491 0.393 0.844
O: 0.879 0.890 0.463
O: 0.857 0.759 0.977
O: 0.991 0.509 0.509
O: 0.273 0.844 0.393
O: 0.768 0.463 0.890
O: 0.787 0.482 0.371
P: 0.005 0.647 0.649
P: 0.603 0.245 0.551
P: 0.601 0.551 0.245
P: 0.699 0.649 0.647
O: 0.741 0.259 0.259
O: 0.360 0.371 0.482
O: 0.406 0.977 0.759

---

Record 6
Entry from Alexandria: crystalline P4O at its relaxed geometry (PBE).

Summary:
Crystal system: cubic
Energy (eV per atom): -4.50

Cell: 4.156 4.156 4.156 Å, 90.00 90.00 90.00°
Element x y z (fractional)
P: 0.500 0.000 0.500
P: 0.500 0.500 0.000
P: 0.000 0.500 0.500
P: 0.000 0.000 0.000
O: 0.500 0.500 0.500

---

Record 7
Entry from Alexandria: crystalline P2O5 at its relaxed geometry (PBE).

Summary:
Crystal system: trigonal
Energy (eV per atom): -5.87

Cell: 8.314 8.314 8.314 Å, 62.45 62.45 62.45°
Each line ends with the local moment (μB).
Element x y z (fractional)
P: 0.956 0.956 0.956  0.01
P: 0.463 0.807 0.714  0.16
P: 0.214 0.307 0.963  0.16
O: 0.076 0.983 0.326  0.04
O: 0.669 0.249 0.878  0.14
O: 0.576 0.826 0.483  0.04
O: 0.169 0.378 0.749  0.14
O: 0.983 0.326 0.076  0.04
P: 0.307 0.963 0.214  0.16
P: 0.963 0.214 0.307  0.16
O: 0.218 0.218 0.218  0.34
O: 0.718 0.718 0.718  0.34
O: 0.749 0.169 0.378  0.14
O: 0.483 0.576 0.826  0.04
P: 0.456 0.456 0.456  0.01
O: 0.826 0.483 0.576  0.04
O: 0.249 0.878 0.669  0.14
P: 0.807 0.714 0.463  0.16
O: 0.099 0.801 0.830  0.02
O: 0.330 0.301 0.599  0.02
P: 0.714 0.463 0.807  0.16
O: 0.326 0.076 0.983  0.04
O: 0.599 0.330 0.301  0.02
O: 0.378 0.749 0.169  0.14
O: 0.801 0.830 0.099  0.02
O: 0.301 0.599 0.330  0.02
O: 0.830 0.099 0.801  0.02
O: 0.878 0.669 0.249  0.14

---

Record 8
Entry from Alexandria: crystalline P2O5 at its relaxed geometry (PBE).

Summary:
Crystal system: orthorhombic
Energy (eV per atom): -7.02

Cell: 4.940 7.401 9.646 Å, 90.00 90.00 90.00°
Element x y z (fractional)
O: 0.750 0.594 0.540
O: 0.750 0.906 0.040
O: 0.499 0.272 0.147
O: 0.250 0.504 0.723
O: 0.750 0.159 0.368
P: 0.250 0.717 0.749
O: 0.750 0.004 0.777
O: 0.250 0.841 0.632
P: 0.750 0.283 0.251
O: 0.750 0.341 0.868
P: 0.750 0.648 0.394
P: 0.250 0.148 0.106
P: 0.250 0.783 0.249
O: 0.250 0.094 0.960
O: 0.001 0.228 0.647
O: 0.999 0.728 0.853
P: 0.750 0.217 0.751
O: 0.499 0.228 0.647
O: 0.750 0.496 0.277
O: 0.501 0.772 0.353
P: 0.750 0.852 0.894
P: 0.250 0.352 0.606
O: 0.999 0.772 0.353
O: 0.001 0.272 0.147
O: 0.250 0.659 0.132
O: 0.501 0.728 0.853
O: 0.250 0.406 0.460
O: 0.250 0.996 0.223

---

Record 9
Entry from Alexandria: crystalline P2O3 at its relaxed geometry (PBE).

Summary:
Crystal system: monoclinic
Energy (eV per atom): -6.68

Cell: 8.457 6.637 7.144 Å, 71.15 90.00 90.00°
Element x y z (fractional)
P: 0.250 0.639 0.641
P: 0.425 0.249 0.868
P: 0.750 0.361 0.359
P: 0.575 0.751 0.132
O: 0.099 0.512 0.779
O: 0.750 0.823 0.025
O: 0.750 0.478 0.533
O: 0.599 0.814 0.337
P: 0.250 0.259 0.504
O: 0.401 0.512 0.779
O: 0.099 0.186 0.663
O: 0.901 0.488 0.221
O: 0.250 0.522 0.467
P: 0.075 0.249 0.868
O: 0.250 0.177 0.975
P: 0.925 0.751 0.132
P: 0.750 0.741 0.496
O: 0.401 0.186 0.663
O: 0.599 0.488 0.221
O: 0.901 0.814 0.337

---

Record 10
Entry from Alexandria: crystalline P2O5 at its relaxed geometry (PBE).

Summary:
Crystal system: trigonal
Energy (eV per atom): -7.02

Cell: 7.803 7.803 7.803 Å, 88.27 88.27 88.27°
Element x y z (fractional)
O: 0.041 0.950 0.777
P: 0.672 0.375 0.568
P: 0.875 0.172 0.068
P: 0.372 0.372 0.372
O: 0.541 0.277 0.450
O: 0.768 0.768 0.768
O: 0.544 0.451 0.716
O: 0.716 0.544 0.451
P: 0.172 0.068 0.875
O: 0.451 0.716 0.544
O: 0.273 0.627 0.818
O: 0.044 0.216 0.951
O: 0.818 0.273 0.627
O: 0.627 0.818 0.273
O: 0.951 0.044 0.216
P: 0.568 0.672 0.375
P: 0.375 0.568 0.672
O: 0.950 0.777 0.041
O: 0.318 0.127 0.773
O: 0.268 0.268 0.268
P: 0.872 0.872 0.872
O: 0.216 0.951 0.044
O: 0.773 0.318 0.127
O: 0.127 0.773 0.318
O: 0.450 0.541 0.277
P: 0.068 0.875 0.172
O: 0.777 0.041 0.950
O: 0.277 0.450 0.541

---

Record 11
Entry from Alexandria: crystalline P2O5 at its relaxed geometry (PBE).

Summary:
Crystal system: orthorhombic
Energy (eV per atom): -6.78

Cell: 12.560 10.341 7.334 Å, 88.88 55.40 35.72°
Element x y z (fractional)
O: 0.615 0.684 0.781
O: 0.969 0.829 0.135
O: 0.066 0.135 0.829
O: 0.887 0.150 0.813
P: 0.134 0.267 0.197
O: 0.268 0.232 0.232
P: 0.553 0.348 0.616
O: 0.921 0.781 0.684
P: 0.402 0.197 0.267
P: 0.483 0.616 0.348
O: 0.600 0.863 0.600
O: 0.937 0.600 0.863
O: 0.150 0.813 0.150
O: 0.518 0.482 0.482

---

Record 12
Entry from Alexandria: crystalline P2O5 at its relaxed geometry (PBE).

Summary:
Crystal system: orthorhombic
Energy (eV per atom): -6.35

Cell: 3.095 3.269 5.920 Å, 90.00 90.00 90.00°
Element x y z (fractional)
O: 0.500 0.000 0.000
O: 0.500 0.500 0.500
O: 0.000 0.000 0.310
O: 0.000 0.500 0.000
P: 0.500 0.000 0.500
P: 0.000 0.000 0.000
O: 0.000 0.000 0.690